# Rb2CoF6 PBE with a Hubbard U relaxed
# total energy: -4.251 eV per atom
# volume: 631.75 Å³/cell
# magnetization: 0.11 μB/atom
data_Rb2CoF6
_chemical_formula_sum 'Rb8 Co4 F24'
_cell_length_a 8.5806
_cell_length_b 8.5806
_cell_length_c 8.5806
_cell_angle_alpha 90.00
_cell_angle_beta 90.00
_cell_angle_gamma 90.00
_space_group_name_H-M_alt 'F m -3 m'
_space_group_IT_number 225
_space_group_name_Hall '-F 4 2 3'
loop_
_atom_site_label
_atom_site_fract_x
_atom_site_fract_y
_atom_site_fract_z
_atom_site_occupancy
Rb1 0.2500 0.2500 0.2500 1
Co1 0.0000 0.0000 0.0000 1
F1 0.0000 0.0000 0.2114 1